No. 1
Entry from Alexandria: a relaxed structure of MgZr2CuRu (PBE-GGA).

Unit cell a=4.9225 b=4.8774 c=4.9225 alpha=90.00 beta=90.00 gamma=90.00
Closest atoms and distances in Å follow each position.
Element x y z (fractional)
Ru: 0.0000 0.0000 0.0000  2 Cu 2.44, 4 Zr 2.46
Mg: 0.5000 0.5000 0.5000  8 Zr 3.46, 4 Cu 3.48
Cu: 0.0000 0.5000 0.0000  2 Ru 2.44
Zr: 0.0000 0.0000 0.5000  2 Ru 2.46
Zr: 0.5000 0.0000 0.0000  2 Ru 2.46

Results
- space-group type = No. 123
- energy relative to the elements (eV/atom) = 0.40
- E above lowest polymorph (meV/atom) = 0

No. 2
Entry from Alexandria: a relaxed structure of HoPuPt2 (PBE-GGA).

Unit cell a=3.4484 b=3.4484 c=7.1786 alpha=90.00 beta=90.00 gamma=90.00
Closest atoms and distances in Å follow each position.
Element x y z (fractional)
Ho: 0.5000 0.5000 0.0000  8 Pt 2.97
Pt: 0.0000 0.0000 0.7646  4 Ho 2.97, 4 Pu 3.09
Pt: 0.0000 0.0000 0.2354  4 Ho 2.97, 4 Pu 3.09
Pu: 0.5000 0.5000 0.5000  8 Pt 3.09, 4 Pu 3.45

Results
- space-group type = No. 123
- energy relative to the elements (eV/atom) = -0.98

No. 3
Entry from Alexandria: a relaxed structure of La2AgHPd6 (PBE-GGA).

Unit cell a=5.7484 b=7.2934 c=5.7529 alpha=66.38 beta=60.25 gamma=89.90
Closest atoms and distances in Å follow each position.
Element x y z (fractional)
La: 0.7339 0.1981 0.5381  6 Pd 2.98-3.01
La: 0.2661 0.8019 0.4619  6 Pd 2.98-3.01
Ag: 0.0000 0.0000 0.0000  6 Pd 2.68-2.69
H: 0.5000 0.5000 0.0000  6 Pd 2.00-2.01
Pd: 0.2781 0.3297 0.4522  1 H 2.01
Pd: 0.7241 0.6798 0.0421  1 H 2.00
Pd: 0.2208 0.6720 0.0481  1 H 2.01
Pd: 0.7792 0.3280 0.9519  1 H 2.01
Pd: 0.2759 0.3202 0.9579  1 H 2.00
Pd: 0.7219 0.6703 0.5478  1 H 2.01

Results
- space-group type = No. 2

No. 4
Entry from Alexandria: a relaxed structure of CdSbMo2 (PBE-GGA).

Unit cell a=2.9554 b=2.9554 c=10.1251 alpha=90.00 beta=90.00 gamma=112.36
Closest atoms and distances in Å follow each position.
Element x y z (fractional)
Cd: 0.5000 0.5000 0.7876  2 Mo 2.95, 6 Cd 2.96-3.29
Mo: 0.0000 0.0000 0.0293  2 Mo 2.56
Mo: 0.5000 0.5000 0.2229  2 Mo 2.56
Sb: 0.0000 0.0000 0.4603  2 Mo 2.91, 4 Sb 2.96

Results
- space-group type = No. 35
- E above lowest polymorph (meV/atom) = 122
- formation energy (no corrections) (eV per formula unit) = 1.4

No. 5
Entry from Alexandria: a relaxed structure of Ca5DyGa6 (PBE-GGA).

Unit cell a=5.1434 b=7.3723 c=8.9358 alpha=65.64 beta=72.88 gamma=90.00
Closest atoms and distances in Å follow each position.
Element x y z (fractional)
Ca: 0.6735 0.1734 0.6533  8 Ga 3.13-3.19
Ca: 0.3358 0.3359 0.3281  8 Ga 3.18-3.21
Ca: 0.0000 0.5000 0.0000  8 Ga 3.15-3.22
Ca: 0.6642 0.6641 0.6719  8 Ga 3.18-3.21
Ca: 0.3265 0.8266 0.3467  8 Ga 3.13-3.19
Ga: 0.8369 0.5954 0.3256  1 Dy 3.08, 7 Ca 3.13-3.21
Ga: 0.8369 0.0788 0.3256  1 Dy 3.08, 7 Ca 3.13-3.21
Ga: 0.5000 0.7627 0.0000  2 Dy 3.11, 6 Ca 3.18-3.22
Ga: 0.5000 0.2373 0.0000  2 Dy 3.11, 6 Ca 3.18-3.22
Ga: 0.1631 0.9212 0.6744  1 Dy 3.08, 7 Ca 3.13-3.21
Ga: 0.1631 0.4046 0.6744  1 Dy 3.08, 7 Ca 3.13-3.21
Dy: 0.0000 0.0000 0.0000  8 Ga 3.08-3.11

Results
- space-group type = No. 12
- energy relative to the elements (eV/atom) = -0.47

No. 6
Entry from Alexandria: a relaxed structure of In2FeIr (PBE-GGA).

Unit cell a=3.6328 b=3.0438 c=6.8363 alpha=63.45 beta=90.00 gamma=90.00
Closest atoms and distances in Å follow each position.
Element x y z (fractional)
Fe: 0.5000 0.7500 0.7500  8 In 2.81-2.82, 2 Fe 3.04, 2 Ir 3.06
In: 0.0000 0.0020 0.9984  4 Fe 2.81-2.82, 4 Ir 2.82-2.83, 4 In 3.04-3.08
In: 0.0000 0.4980 0.5016  4 Fe 2.81-2.82, 4 Ir 2.82-2.83, 4 In 3.04-3.08
Ir: 0.5000 0.2500 0.2500  8 In 2.82-2.83, 2 Ir 3.04, 2 Fe 3.06

Results
- space-group type = No. 10
- energy relative to the elements (eV/atom) = 0.17

No. 7
Entry from Alexandria: a relaxed structure of PrPaTc4 (PBE-GGA).

Unit cell a=5.4418 b=5.4418 c=5.4418 alpha=60.00 beta=60.00 gamma=60.00
Closest atoms and distances in Å follow each position.
Element x y z (fractional)
Pr: 0.2500 0.2500 0.2500  12 Tc 3.19, 4 Pa 3.33
Pa: 0.0000 0.0000 0.0000  12 Tc 3.19, 4 Pr 3.33
Tc: 0.6250 0.6250 0.1249  6 Tc 2.72
Tc: 0.6250 0.1249 0.6250  6 Tc 2.72
Tc: 0.6250 0.6250 0.6250  6 Tc 2.72
Tc: 0.1249 0.6250 0.6250  6 Tc 2.72

Results
- space-group type = No. 216
- energy relative to the elements (eV/atom) = 0.02

No. 8
Entry from Alexandria: a relaxed structure of Sr2BeGe2 (PBE-GGA).

Unit cell a=7.0978 b=7.0978 c=4.9007 alpha=90.00 beta=90.00 gamma=90.00
Closest atoms and distances in Å follow each position.
Element x y z (fractional)
Sr: 0.1716 0.6716 0.5000  6 Ge 3.13-3.28, 1 Sr 3.44
Sr: 0.6716 0.8284 0.5000  6 Ge 3.13-3.28, 1 Sr 3.44
Sr: 0.8284 0.3284 0.5000  6 Ge 3.13-3.28, 1 Sr 3.44
Sr: 0.3284 0.1716 0.5000  6 Ge 3.13-3.28, 1 Sr 3.44
Ge: 0.3659 0.8659 0.0000  1 Ge 2.69, 2 Be 2.77
Ge: 0.8659 0.6341 0.0000  1 Ge 2.69, 2 Be 2.77
Ge: 0.6341 0.1341 0.0000  1 Ge 2.69, 2 Be 2.77
Ge: 0.1341 0.3659 0.0000  1 Ge 2.69, 2 Be 2.77
Be: 0.0000 0.0000 0.0000  4 Ge 2.77
Be: 0.5000 0.5000 0.0000  4 Ge 2.77

Results
- space-group type = No. 127
- energy relative to the elements (eV/atom) = -0.15

No. 9
Entry from Alexandria: a relaxed structure of Li2MgAuN (PBE-GGA).

Unit cell a=4.1234 b=4.1234 c=4.1097 alpha=90.00 beta=90.00 gamma=90.00
Closest atoms and distances in Å follow each position.
Element x y z (fractional)
Mg: 0.0000 0.0000 0.5000  2 N 2.05
Li: 0.0000 0.5000 0.0000  2 N 2.06
Li: 0.5000 0.0000 0.0000  2 N 2.06
Au: 0.5000 0.5000 0.5000  8 Li 2.91, 4 Mg 2.92
N: 0.0000 0.0000 0.0000  2 Mg 2.05, 4 Li 2.06

Results
- space-group type = No. 123
- formation energy (no corrections) (eV per formula unit) = -2.4

No. 10
Entry from Alexandria: a relaxed structure of FeBiI2N (PBE-GGA).

Unit cell a=6.3274 b=6.3274 c=4.1959 alpha=90.00 beta=90.00 gamma=90.00
Closest atoms and distances in Å follow each position.
Element x y z (fractional)
I: 0.0000 0.5000 0.0000  2 Bi 3.16
I: 0.5000 0.0000 0.0000  2 Bi 3.16
N: 0.0000 0.0000 0.5000  2 Bi 2.10
Bi: 0.0000 0.0000 0.0000  2 N 2.10
Fe: 0.5000 0.5000 0.5000  8 I 3.80, 2 Fe 4.20

Results
- space-group type = No. 123
- E above lowest polymorph (meV/atom) = 792
- formation energy (no corrections) (eV per formula unit) = 6.1

No. 11
Entry from Alexandria: a relaxed structure of Cd2HPtAu (PBE-GGA).

Unit cell a=4.7619 b=4.7619 c=3.4876 alpha=90.00 beta=90.00 gamma=90.00
Closest atoms and distances in Å follow each position.
Element x y z (fractional)
H: 0.0000 0.0000 0.0000  2 Pt 1.74
Au: 0.5000 0.5000 0.5000  8 Cd 2.95
Pt: 0.0000 0.0000 0.5000  2 H 1.74
Cd: 0.0000 0.5000 0.0000  2 H 2.38
Cd: 0.5000 0.0000 0.0000  2 H 2.38

Results
- space-group type = No. 123

No. 12
Entry from Alexandria: a relaxed structure of Zn2Pb2Cl (PBE-GGA).

Unit cell a=8.3769 b=8.3769 c=3.5342 alpha=90.00 beta=90.00 gamma=90.00
Closest atoms and distances in Å follow each position.
Element x y z (fractional)
Pb: 0.1983 0.6983 0.5000  6 Zn 2.91-3.20
Pb: 0.6983 0.8017 0.5000  6 Zn 2.91-3.20
Pb: 0.8017 0.3017 0.5000  6 Zn 2.91-3.20
Pb: 0.3017 0.1983 0.5000  6 Zn 2.91-3.20
Zn: 0.3934 0.8934 0.0000  1 Zn 2.53
Zn: 0.8934 0.6066 0.0000  1 Zn 2.53
Zn: 0.6066 0.1066 0.0000  1 Zn 2.53
Zn: 0.1066 0.3934 0.0000  1 Zn 2.53
Cl: 0.0000 0.0000 0.0000  4 Zn 3.41, 8 Pb 3.50, 2 Cl 3.53
Cl: 0.5000 0.5000 0.0000  4 Zn 3.41, 8 Pb 3.50, 2 Cl 3.53

Results
- space-group type = No. 127
- E above lowest polymorph (meV/atom) = 54
- formation energy (no corrections) (eV per formula unit) = -0.3

For the records above, the corresponding electronic total energy values read -6.008; -8.725; -5.294; -6.321; -3.197; -5.533; -9.266; -3.417; -3.881; -3.525; -2.994; -2.416 eV/atom.